(1)
! TaVSi4, relaxed, DFT PBEsol; values from VASP
&SYSTEM
  ibrav = 0, nat = 18, ntyp = 3
/
ATOMIC_SPECIES
Si 28.09 Si.upf
V 50.94 V.upf
Ta 180.95 Ta.upf
CELL_PARAMETERS angstrom
-2.105 0.259 4.124
4.631 -0.439 -0.199
1.209 12.841 -0.189
ATOMIC_POSITIONS crystal
Si 0.836 0.162 0.415
Si 0.156 0.325 0.088
Si 0.678 0.847 0.247
Si 0.842 0.682 0.582
Si 0.324 0.156 0.746
Si 0.158 0.318 0.582
Si 0.844 0.675 0.088
Si 0.835 0.155 0.922
Si 0.164 0.838 0.415
Si 0.322 0.153 0.247
Si 0.676 0.844 0.746
Si 0.165 0.845 0.922
V 0.500 0.000 0.581
V 0.500 0.000 0.084
V 0.000 0.500 0.251
Ta 0.000 0.500 0.752
Ta 0.500 0.500 0.917
Ta 0.500 0.500 0.414
! **Total magnetization**: 0.0 μB per cell
! **E_tot**: -145.65 eV per cell
! **Formation energy without anion corrections**: -326.1 kJ/mol of formula units

---

(2)
! CrTcSn2N, relaxed, DFT PBEsol; values from VASP
&SYSTEM
  ibrav = 0, nat = 5, ntyp = 4
/
ATOMIC_SPECIES
Sn 118.71 Sn.upf
N 14.01 N.upf
Cr 52.00 Cr.upf
Tc 98.00 Tc.upf
CELL_PARAMETERS angstrom
4.214 0.000 0.000
0.000 4.923 0.000
0.000 0.000 4.923
ATOMIC_POSITIONS crystal
Sn 0.000 0.500 0.000
Sn 0.000 0.000 0.500
N 0.500 0.500 0.500
Cr 0.000 0.000 0.000
Tc 0.500 0.000 0.000
! **Total magnetization**: 2.6 μB per cell
! **E_tot**: -30.27 eV per cell
! **Formation energy without anion corrections**: 799.7 kJ/mol of formula units